1.
# K2ZnSi4O10

A geometry-optimized K2ZnSi4O10 structure (PBE-GGA, Alexandria).

Cell lengths 7.189, 10.254, 14.300 Å; angles 90.00, 90.00, 90.00 degrees
Fractional positions:
Si (0.670, 0.599, 0.276)
Si (0.330, 0.099, 0.224)
Si (0.767, 0.556, 0.601)
Si (0.241, 0.340, 0.820)
Si (0.233, 0.056, 0.899)
Si (0.033, 0.984, 0.078)
Si (0.759, 0.840, 0.680)
Si (0.170, 0.901, 0.724)
Si (0.967, 0.484, 0.422)
Si (0.830, 0.401, 0.776)
Si (0.733, 0.444, 0.101)
Si (0.533, 0.516, 0.922)
Si (0.259, 0.660, 0.320)
Si (0.741, 0.160, 0.180)
Si (0.467, 0.016, 0.578)
Si (0.267, 0.944, 0.399)
O (0.695, 0.704, 0.627)
O (0.906, 0.537, 0.076)
O (0.893, 0.502, 0.692)
O (0.305, 0.204, 0.873)
O (0.299, 0.989, 0.653)
O (0.836, 0.040, 0.120)
O (0.923, 0.571, 0.517)
O (0.515, 0.138, 0.163)
O (0.799, 0.511, 0.347)
O (0.519, 0.668, 0.946)
O (0.015, 0.362, 0.837)
O (0.094, 0.037, 0.424)
O (0.607, 0.498, 0.192)
O (0.423, 0.929, 0.483)
O (0.481, 0.168, 0.554)
O (0.213, 0.657, 0.211)
O (0.701, 0.489, 0.847)
O (0.577, 0.429, 0.017)
O (0.664, 0.960, 0.620)
O (0.195, 0.796, 0.373)
O (0.107, 0.002, 0.808)
O (0.713, 0.843, 0.789)
O (0.269, 0.771, 0.764)
O (0.805, 0.296, 0.127)
O (0.985, 0.862, 0.663)
O (0.336, 0.460, 0.880)
O (0.731, 0.271, 0.736)
O (0.787, 0.157, 0.289)
O (0.406, 0.963, 0.924)
O (0.201, 0.011, 0.153)
O (0.287, 0.343, 0.711)
O (0.485, 0.638, 0.337)
O (0.164, 0.540, 0.380)
O (0.231, 0.229, 0.264)
O (0.393, 0.998, 0.308)
O (0.769, 0.729, 0.236)
O (0.594, 0.463, 0.576)
O (0.077, 0.071, 0.983)
O (0.981, 0.332, 0.446)
O (0.019, 0.832, 0.054)
K (0.731, 0.090, 0.877)
K (0.979, 0.680, 0.902)
K (0.269, 0.590, 0.623)
K (0.021, 0.180, 0.598)
K (0.521, 0.320, 0.402)
K (0.231, 0.410, 0.123)
K (0.769, 0.910, 0.377)
K (0.479, 0.820, 0.098)
Zn (0.977, 0.698, 0.148)
Zn (0.523, 0.302, 0.648)
Zn (0.023, 0.198, 0.352)
Zn (0.477, 0.802, 0.852)

=====

2.
# K2ZnSiO4

A geometry-optimized K2ZnSiO4 structure (PBE-GGA, Alexandria).

Cell lengths 5.507, 11.050, 15.783 Å; angles 90.00, 90.00, 90.00 degrees
Fractional positions:
Si (0.027, 0.235, 0.435)
Si (0.973, 0.735, 0.435)
Si (0.487, 0.992, 0.189)
Si (0.487, 0.508, 0.689)
Si (0.513, 0.008, 0.689)
Si (0.973, 0.765, 0.935)
Si (0.513, 0.492, 0.189)
Si (0.027, 0.265, 0.935)
K (0.993, 0.987, 0.061)
K (0.507, 0.487, 0.439)
K (0.545, 0.239, 0.317)
K (0.952, 0.734, 0.186)
K (0.993, 0.513, 0.561)
K (0.952, 0.766, 0.686)
K (0.455, 0.761, 0.817)
K (0.007, 0.013, 0.561)
K (0.493, 0.513, 0.939)
K (0.048, 0.234, 0.186)
K (0.048, 0.266, 0.686)
K (0.007, 0.487, 0.061)
K (0.545, 0.261, 0.817)
K (0.507, 0.013, 0.939)
K (0.493, 0.987, 0.439)
K (0.455, 0.739, 0.317)
O (0.933, 0.677, 0.852)
O (0.424, 0.850, 0.161)
O (0.424, 0.650, 0.661)
O (0.933, 0.823, 0.352)
O (0.778, 0.011, 0.211)
O (0.329, 0.023, 0.276)
O (0.067, 0.177, 0.852)
O (0.709, 0.797, 0.979)
O (0.222, 0.989, 0.711)
O (0.841, 0.202, 0.005)
O (0.159, 0.798, 0.505)
O (0.096, 0.606, 0.403)
O (0.096, 0.894, 0.903)
O (0.576, 0.150, 0.661)
O (0.841, 0.298, 0.505)
O (0.413, 0.083, 0.110)
O (0.904, 0.394, 0.903)
O (0.291, 0.297, 0.979)
O (0.222, 0.511, 0.211)
O (0.778, 0.489, 0.711)
O (0.904, 0.106, 0.403)
O (0.576, 0.350, 0.161)
O (0.587, 0.583, 0.110)
O (0.413, 0.417, 0.610)
O (0.671, 0.977, 0.776)
O (0.067, 0.323, 0.352)
O (0.159, 0.702, 0.005)
O (0.329, 0.477, 0.776)
O (0.291, 0.203, 0.479)
O (0.587, 0.917, 0.610)
O (0.709, 0.703, 0.479)
O (0.671, 0.523, 0.276)
Zn (0.469, 0.759, 0.564)
Zn (0.531, 0.259, 0.564)
Zn (0.531, 0.241, 0.064)
Zn (0.990, 0.990, 0.311)
Zn (0.469, 0.741, 0.064)
Zn (0.010, 0.010, 0.811)
Zn (0.010, 0.490, 0.311)
Zn (0.990, 0.510, 0.811)

**Energy above the lowest structure with this stoichiometry**: 0.0 kJ per mole of atoms

=====

3.
# K2ZnSiO4

A geometry-optimized K2ZnSiO4 structure (PBE-GGA, Alexandria).

Cell lengths 5.018, 6.295, 10.314 Å; angles 84.44, 75.92, 66.51 degrees
Fractional positions:
O (0.335, 0.832, 0.089)
O (0.174, 0.332, 0.411)
O (0.256, 0.168, 0.911)
O (0.576, 0.168, 0.089)
O (0.833, 0.832, 0.911)
O (0.415, 0.668, 0.411)
O (0.494, 0.332, 0.589)
O (0.917, 0.668, 0.589)
Si (0.250, 0.500, 0.500)
Si (0.500, 0.000, 0.000)
K (0.926, 0.500, 0.148)
K (0.176, 0.000, 0.648)
K (0.824, 0.000, 0.352)
K (0.574, 0.500, 0.852)
Zn (0.000, 0.000, 0.000)
Zn (0.750, 0.500, 0.500)

**Energy above the lowest structure with this stoichiometry**: 15.4 kJ per mole of atoms

=====

4.
# KZrSiO5

A geometry-optimized KZrSiO5 structure (PBE-GGA, Alexandria).

Cell lengths 5.903, 5.903, 7.879 Å; angles 104.67, 104.67, 105.60 degrees
Fractional positions:
O (0.061, 0.939, 0.250)
O (0.860, 0.284, 0.115)
O (0.284, 0.860, 0.615)
O (0.140, 0.716, 0.885)
O (0.391, 0.227, 0.122)
O (0.773, 0.609, 0.378)
O (0.227, 0.391, 0.622)
O (0.609, 0.773, 0.878)
O (0.716, 0.140, 0.385)
O (0.939, 0.061, 0.750)
K (0.669, 0.331, 0.750)
K (0.331, 0.669, 0.250)
Zr (0.000, 0.000, 0.000)
Zr (0.000, 0.000, 0.500)
Si (0.310, 0.690, 0.750)
Si (0.690, 0.310, 0.250)

=====

no.,raw formation energy (meV per atom),volume (Å³ per atom),calculated density (g cm⁻³)
1,-2538.7,15.5,2.621
2,-2123.1,15.0,3.260
3,-1963.1,18.1,2.700
4,-2530.1,15.0,3.298